(1)
This record from Alexandria describes DyY5Sb4 after structural relaxation. The functional is PBE.

* calculated volume: 326 Å³/f.u.
* DFT total energy: -0.225 Ha/atom
* ΔE_f (raw): -770 meV/atom

Cell lengths 18.6461, 4.3099, 8.4174 Å; angles 90.00, 105.56, 90.00 degrees
Space group C2/m (No. 12)
Inequivalent atoms, fractional coordinates:
Dy: 0.0000 0.0000 0.0000 (multiplicity 2)
Y: 0.0000 0.0000 0.5000 (multiplicity 2)
Y: 0.1634 0.5000 0.8262 (multiplicity 4)
Y: 0.1766 0.5000 0.3514 (multiplicity 4)
Sb: 0.0070 0.5000 0.2568 (multiplicity 4)
Sb: 0.1695 0.0000 0.0897 (multiplicity 4)

=====

(2)
This record from Alexandria describes CdSiAu2 after structural relaxation. The functional is PBE.

* calculated volume: 75 Å³/f.u.
* DFT total energy: -0.114 Ha/atom
* ΔE_f (raw): 114 meV/atom

Cell lengths 3.1270, 3.1270, 26.5850 Å; angles 90.00, 90.00, 120.00 degrees
Space group R3m (No. 160, hexagonal axes)
Inequivalent atoms, fractional coordinates:
Cd: 0.0000 0.0000 0.0000 (multiplicity 3)
Si: 0.0000 0.0000 0.2413 (multiplicity 3)
Au: 0.0000 0.0000 0.5062 (multiplicity 3)
Au: 0.0000 0.0000 0.7528 (multiplicity 3)

=====

(3)
This record from Alexandria describes Hf3ReW after structural relaxation. The functional is PBE.

* calculated volume: 119 Å³/f.u.
* DFT total energy: -0.350 Ha/atom

Cell lengths 4.9203, 4.9203, 4.9203 Å; angles 90.00, 90.00, 90.00 degrees
Space group Pm-3m (No. 221)
Inequivalent atoms, fractional coordinates:
Hf: 0.0000 0.0000 0.5000 (multiplicity 3)
Re: 0.5000 0.5000 0.5000 (multiplicity 1)
W: 0.0000 0.0000 0.0000 (multiplicity 1)

=====

(4)
This record from Alexandria describes HfSiSF2 after structural relaxation. The functional is PBE.

* calculated volume: 102 Å³/f.u.
* DFT total energy: -0.208 Ha/atom
* ΔE_f (raw): -1010 meV/atom

Cell lengths 3.7477, 3.7477, 7.2945 Å; angles 90.00, 90.00, 90.00 degrees
Space group P4/mmm (No. 123)
Inequivalent atoms, fractional coordinates:
Hf: 0.0000 0.0000 0.0000 (multiplicity 1)
Si: 0.5000 0.5000 0.5000 (multiplicity 1)
S: 0.5000 0.5000 0.0000 (multiplicity 1)
F: 0.0000 0.5000 0.5000 (multiplicity 2)

=====

(5)
This record from Alexandria describes ScZnCu after structural relaxation. The functional is PBE.

* calculated volume: 50 Å³/f.u.
* DFT total energy: -0.154 Ha/atom

Cell lengths 4.3168, 4.3168, 3.0845 Å; angles 90.00, 90.00, 120.00 degrees
Space group P-6m2 (No. 187)
Inequivalent atoms, fractional coordinates:
Sc: 0.0000 0.0000 0.0000 (multiplicity 1)
Zn: 0.3333 0.6667 0.5000 (multiplicity 1)
Cu: 0.6667 0.3333 0.5000 (multiplicity 1)

=====

(6)
This record from Alexandria describes Cu2NiIr after structural relaxation. The functional is PBE.

* calculated volume: 50 Å³/f.u.
* DFT total energy: -0.206 Ha/atom

Cell lengths 2.6618, 4.3347, 4.3458 Å; angles 90.00, 90.00, 90.00 degrees
Space group Pmmm (No. 47)
Inequivalent atoms, fractional coordinates:
Cu: 0.0000 0.0000 0.0000 (multiplicity 1)
Cu: 0.5000 0.5000 0.0000 (multiplicity 1)
Ni: 0.0000 0.5000 0.5000 (multiplicity 1)
Ir: 0.5000 0.0000 0.5000 (multiplicity 1)